Material: Pu2UCo2Ge2
Method: DFT, GGA-PBE
State: optimized geometry

Cell lengths 4.060, 4.060, 8.762 Å; angles 76.61, 76.61, 60.00 degrees
Site moments in Bohr magnetons follow the coordinates.
Element x y z (fractional)
Pu: 0.151 0.151 0.546  -0.53
Pu: 0.849 0.849 0.454  -0.53
U: 0.000 0.000 0.000  2.08
Co: 0.567 0.567 0.300  -0.33
Co: 0.433 0.433 0.700  -0.33
Ge: 0.736 0.736 0.792  -0.01
Ge: 0.264 0.264 0.208  -0.01

Values from the calculation:
For the total magnetization, the calculation gives 0.084 μB/atom. The formation energy from the elements is -0.09 eV per atom.



Material: ScGaTe2Mo
Method: DFT, GGA-PBE
State: optimized geometry

Cell lengths 5.322, 4.729, 5.322 Å; angles 90.00, 90.00, 90.00 degrees
Site moments in Bohr magnetons follow the coordinates.
Element x y z (fractional)
Sc: 0.500 0.500 0.500  -0.28
Mo: 0.000 0.500 0.000  1.91
Te: 0.000 0.000 0.500  0.00
Te: 0.500 0.000 0.000  -0.01
Ga: 0.000 0.000 0.000  0.00

Values from the calculation:
For the total magnetization, the calculation gives 0.396 μB/atom. As for the uncorrected formation energy: 3.5 eV/f.u.